Entry 1:
The following is a DFT calculation (PBE) of a relaxed LaZn2W crystal.

Calculated values
- space-group type = P4/mmm (123)
- raw total energy (eV per atom) = -4.63
- formation enthalpy at 0 K (meV per atom) = 474
- calculated volume (Å³/atom) = 19.09

Cell: 5.1677 5.1677 2.8599 Å, 90.00 90.00 90.00°
With the nearest neighbours (Å) after each atom.
Element x y z (fractional)
1 La 0.5000 0.0000 0.5000  2 La 2.86, 8 Zn 2.95
2 W 0.0000 0.5000 0.5000  2 W 2.86, 8 Zn 2.95
3 Zn 0.0000 0.0000 0.0000  2 Zn 2.86, 4 La 2.95, 4 W 2.95
4 Zn 0.5000 0.5000 0.0000  2 Zn 2.86, 4 La 2.95, 4 W 2.95

Entry 2:
The following is a DFT calculation (PBE) of a relaxed TeSCl2 crystal.

Calculated values
- E_form (uncorrected) (meV/atom) = -291
- space-group type = Pnna (52)
- raw total energy (eV per atom) = -3.03
- calculated volume (Å³/atom) = 30.25

Cell: 6.0275 7.0477 11.3937 Å, 90.01 90.00 89.99°
With the nearest neighbours (Å) after each atom.
Element x y z (fractional)
1 Te 0.0000 0.2500 0.6169  2 S 2.48, 2 Cl 2.54
2 Te 0.0000 0.7500 0.3831  2 S 2.48, 2 Cl 2.54
3 Te 0.5000 0.2500 0.8831  2 S 2.48, 2 Cl 2.54
4 Te 0.5000 0.7500 0.1169  2 S 2.48, 2 Cl 2.54
5 S 0.2499 0.5711 0.2499  2 Te 2.48
6 S 0.7501 0.4289 0.7501  2 Te 2.48
7 S 0.7499 0.9289 0.2500  2 Te 2.48
8 S 0.2501 0.0711 0.7500  2 Te 2.48
9 Cl 0.7268 0.9472 0.8997  1 Te 2.54
10 Cl 0.2732 0.0528 0.1003  1 Te 2.54
11 Cl 0.2268 0.5528 0.6003  1 Te 2.54
12 Cl 0.7732 0.4472 0.3997  1 Te 2.54
13 Cl 0.7267 0.4470 0.1003  1 Te 2.54
14 Cl 0.2733 0.5530 0.8997  1 Te 2.54
15 Cl 0.2267 0.0530 0.3996  1 Te 2.54
16 Cl 0.7733 0.9470 0.6004  1 Te 2.54

Entry 3:
The following is a DFT calculation (PBE) of a relaxed SrLaCr2 crystal.

Calculated values
- space-group type = R-3m (166)
- raw total energy (eV per atom) = -5.56
- formation enthalpy at 0 K (meV per atom) = 906
- calculated volume (Å³/atom) = 30.24

Cell: 10.1611 10.1611 10.1611 Å, 21.27 21.27 21.27°
With the nearest neighbours (Å) after each atom.
Element x y z (fractional)
1 Cr 0.9952 0.9952 0.9952  3 La 3.19, 3 Sr 3.40
2 Cr 0.5048 0.5048 0.5048  3 La 3.19, 3 Sr 3.40
3 La 0.2500 0.2500 0.2500  6 Cr 3.19
4 Sr 0.7500 0.7500 0.7500  6 Cr 3.40, 6 Sr 3.75

Entry 4:
The following is a DFT calculation (PBE) of a relaxed La2ScTaSb crystal.

Calculated values
- E_form (uncorrected) (meV/atom) = 431
- space-group type = P4/mmm (123)
- raw total energy (eV per atom) = -6.00
- calculated volume (Å³/atom) = 33.42

Cell: 5.5833 5.3599 5.5833 Å, 90.00 90.00 90.00°
With the nearest neighbours (Å) after each atom.
Element x y z (fractional)
1 Sc 0.5000 0.5000 0.5000  8 La 3.87, 4 Sb 3.95
2 Sb 0.0000 0.5000 0.0000  2 Ta 2.68
3 La 0.0000 0.0000 0.5000  2 Ta 2.79
4 La 0.5000 0.0000 0.0000  2 Ta 2.79
5 Ta 0.0000 0.0000 0.0000  2 Sb 2.68, 4 La 2.79

Entry 5:
The following is a DFT calculation (PBE) of a relaxed SrCaIn2Ni crystal.

Calculated values
- space-group type = P4/mmm (123)
- raw total energy (eV per atom) = -3.25
- formation enthalpy at 0 K (meV per atom) = -259
- calculated volume (Å³/atom) = 27.45

Cell: 5.1309 5.1309 5.2130 Å, 90.00 90.00 90.00°
With the nearest neighbours (Å) after each atom.
Element x y z (fractional)
1 Sr 0.5000 0.5000 0.5000  4 Ca 3.63, 8 In 3.66
2 Ca 0.0000 0.0000 0.5000  2 Ni 2.61
3 Ni 0.0000 0.0000 0.0000  4 In 2.57, 2 Ca 2.61
4 In 0.0000 0.5000 0.0000  2 Ni 2.57
5 In 0.5000 0.0000 0.0000  2 Ni 2.57

Entry 6:
The following is a DFT calculation (PBE) of a relaxed AlMoIr2 crystal.

Calculated values
- space-group type = I-4m2 (119)
- raw total energy (eV per atom) = -8.43
- formation enthalpy at 0 K (meV per atom) = -358
- calculated volume (Å³/atom) = 14.73

Cell: 4.8682 4.8682 4.8682 Å, 133.89 133.89 67.27°
With the nearest neighbours (Å) after each atom.
Element x y z (fractional)
1 Mo 0.5000 0.5000 0.0000  8 Ir 2.70-2.78, 4 Al 2.78
2 Ir 0.0000 0.0000 0.0000  4 Mo 2.70, 4 Ir 2.78, 4 Al 2.78
3 Ir 0.2500 0.7500 0.5000  4 Al 2.70, 4 Mo 2.78, 4 Ir 2.78
4 Al 0.7500 0.2500 0.5000  8 Ir 2.70-2.78, 4 Mo 2.78